BeTeC2S | the Alexandria database | SCAN | PBEsol geometry; calculated volume = 86.2 Å³/cell; N(E_F) = 2.06 states/eV per cell; calculated total energy = -12.328 eV per atom; ΔE_f (raw) = 1.958 eV per atom
1.0
3.4571 0.0000 0.0000
0.0000 3.4571 0.0000
0.0000 0.0000 7.2121
Be Te C S
1 1 2 1
direct
0.0000 0.0000 0.0000
0.5000 0.5000 0.0000
0.0000 0.5000 0.5000
0.5000 0.0000 0.5000
0.5000 0.5000 0.5000